Entry 1:
## SrLiMo (PBE)

Data for a relaxed SrLiMo crystal.

CIF file:
```
data_SrLiMo
_chemical_formula_sum 'Sr4 Li4 Mo4'
_space_group_name_H-M_alt 'C 1 m 1'
_space_group_IT_number 8
_space_group_name_Hall 'C -2y'
_cell_length_a 12.768
_cell_length_b 3.617
_cell_length_c 8.763
_cell_angle_alpha 90.00
_cell_angle_beta 128.46
_cell_angle_gamma 90.00
loop_
_atom_site_label
_atom_site_type_symbol
_atom_site_fract_x
_atom_site_fract_y
_atom_site_fract_z
Sr1 Sr 0.000 0.000 0.000
Sr2 Sr 0.134 0.000 0.556
Li1 Li 0.262 0.500 0.325
Li2 Li 0.437 0.000 0.608
Mo1 Mo 0.218 0.500 0.963
Mo2 Mo 0.353 0.000 0.176
```

Results
Mass density: 3993 kg/m3
Energy of formation from the pure elements: 0.481 eV/atom
Relative energy among the computed polymorphs: 2.434 kcal/mol of atoms

Entry 2:
## KMo2W (PBE)

Data for a relaxed KMo2W crystal.

CIF file:
```
data_KMo2W
_chemical_formula_sum 'K1 Mo2 W1'
_space_group_name_H-M_alt 'P 1 2/m 1'
_space_group_IT_number 10
_space_group_name_Hall '-P 2y'
_cell_length_a 2.827
_cell_length_b 4.338
_cell_length_c 7.678
_cell_angle_alpha 90.00
_cell_angle_beta 93.87
_cell_angle_gamma 90.00
loop_
_atom_site_label
_atom_site_type_symbol
_atom_site_fract_x
_atom_site_fract_y
_atom_site_fract_z
K1 K 0.000 0.000 0.000
Mo1 Mo 0.160 0.500 0.647
W1 W 0.500 0.000 0.500
```

Results
Mass density: 7332 kg/m3
Energy of formation from the pure elements: 0.892 eV/atom
Relative energy among the computed polymorphs: 3.320 kcal/mol of atoms

Entry 3:
## ScCr2Cl (PBE)

Data for a relaxed ScCr2Cl crystal.

CIF file:
```
data_ScCr2Cl
_chemical_formula_sum 'Sc2 Cr4 Cl2'
_space_group_name_H-M_alt 'C 1 2/m 1'
_space_group_IT_number 12
_space_group_name_Hall '-C 2y'
_cell_length_a 4.938
_cell_length_b 10.253
_cell_length_c 3.054
_cell_angle_alpha 90.00
_cell_angle_beta 127.92
_cell_angle_gamma 90.00
loop_
_atom_site_label
_atom_site_type_symbol
_atom_site_fract_x
_atom_site_fract_y
_atom_site_fract_z
Sc1 Sc 0.000 0.000 0.000
Cr1 Cr 0.250 0.250 0.000
Cl1 Cl 0.000 0.500 0.000
```

Results
Mass density: 5020 kg/m3
Relative energy among the computed polymorphs: 11.994 kcal/mol of atoms
Energy relative to the elements, uncorrected: 0.33 eV per atom

Entry 4:
## CrFe2P (PBE)

Data for a relaxed CrFe2P crystal.

CIF file:
```
data_CrFe2P
_chemical_formula_sum 'Cr4 Fe8 P4'
_space_group_name_H-M_alt 'F -4 3 m'
_space_group_IT_number 216
_space_group_name_Hall 'F -4 2 3'
_cell_length_a 5.579
_cell_length_b 5.579
_cell_length_c 5.579
_cell_angle_alpha 90.00
_cell_angle_beta 90.00
_cell_angle_gamma 90.00
loop_
_atom_site_label
_atom_site_type_symbol
_atom_site_fract_x
_atom_site_fract_y
_atom_site_fract_z
Cr1 Cr 0.000 0.000 0.000
Fe1 Fe 0.000 0.000 0.500
Fe2 Fe 0.250 0.250 0.750
P1 P 0.250 0.250 0.250
```

Results
Mass density: 7445 kg/m3
Energy of formation from the pure elements: -0.166 eV/atom

Entry 5:
## Li2CoSn4 (PBE)

Data for a relaxed Li2CoSn4 crystal.

CIF file:
```
data_Li2CoSn4
_chemical_formula_sum 'Li4 Co2 Sn8'
_space_group_name_H-M_alt 'I 4/m m m'
_space_group_IT_number 139
_space_group_name_Hall '-I 4 2'
_cell_length_a 4.914
_cell_length_b 4.914
_cell_length_c 13.863
_cell_angle_alpha 90.00
_cell_angle_beta 90.00
_cell_angle_gamma 90.00
loop_
_atom_site_label
_atom_site_type_symbol
_atom_site_fract_x
_atom_site_fract_y
_atom_site_fract_z
Li1 Li 0.000 0.000 0.122
Co1 Co 0.000 0.000 0.500
Sn1 Sn 0.000 0.000 0.313
Sn2 Sn 0.000 0.500 0.000
```

Results
Mass density: 5432 kg/m3
Energy of formation from the pure elements: 0.026 eV/atom
Relative energy among the computed polymorphs: 2.481 kcal/mol of atoms

Entry 6:
## KH4Pt (PBE)

Data for a relaxed KH4Pt crystal.

CIF file:
```
data_KH4Pt
_chemical_formula_sum 'K1 H4 Pt1'
_space_group_name_H-M_alt 'P 4/m m m'
_space_group_IT_number 123
_space_group_name_Hall '-P 4 2'
_cell_length_a 3.545
_cell_length_b 3.545
_cell_length_c 5.344
_cell_angle_alpha 90.00
_cell_angle_beta 90.00
_cell_angle_gamma 90.00
loop_
_atom_site_label
_atom_site_type_symbol
_atom_site_fract_x
_atom_site_fract_y
_atom_site_fract_z
K1 K 0.000 0.000 0.000
H1 H 0.000 0.500 0.500
H2 H 0.500 0.500 0.191
Pt1 Pt 0.500 0.500 0.500
```

Results
VASP energy: -3.704 eV/atom
Mass density: 5890 kg/m3

Entry 7:
## Nd9InSn2 (PBE)

Data for a relaxed Nd9InSn2 crystal.

CIF file:
```
data_Nd9InSn2
_chemical_formula_sum 'Nd9 In1 Sn2'
_space_group_name_H-M_alt 'P 4/m m m'
_space_group_IT_number 123
_space_group_name_Hall '-P 4 2'
_cell_length_a 4.968
_cell_length_b 4.968
_cell_length_c 14.874
_cell_angle_alpha 90.00
_cell_angle_beta 90.00
_cell_angle_gamma 90.00
loop_
_atom_site_label
_atom_site_type_symbol
_atom_site_fract_x
_atom_site_fract_y
_atom_site_fract_z
Nd1 Nd 0.000 0.000 0.000
Nd2 Nd 0.000 0.000 0.335
Nd3 Nd 0.000 0.500 0.169
Nd4 Nd 0.000 0.500 0.500
In1 In 0.500 0.500 0.000
Sn1 Sn 0.500 0.500 0.333
```

Results
Mass density: 7464 kg/m3
Energy of formation from the pure elements: -0.398 eV/atom

Entry 8:
## Re2AuBr (PBE)

Data for a relaxed Re2AuBr crystal.

CIF file:
```
data_Re2AuBr
_chemical_formula_sum 'Re4 Au2 Br2'
_space_group_name_H-M_alt 'C m m m'
_space_group_IT_number 65
_space_group_name_Hall '-C 2 2'
_cell_length_a 2.844
_cell_length_b 4.894
_cell_length_c 9.810
_cell_angle_alpha 90.00
_cell_angle_beta 90.00
_cell_angle_gamma 90.00
loop_
_atom_site_label
_atom_site_type_symbol
_atom_site_fract_x
_atom_site_fract_y
_atom_site_fract_z
Re1 Re 0.000 0.000 0.249
Au1 Au 0.000 0.500 0.500
Br1 Br 0.000 0.500 0.000
```

Results
Mass density: 15796 kg/m3
Relative energy among the computed polymorphs: 11.768 kcal/mol of atoms
Energy relative to the elements, uncorrected: 1.19 eV per atom

Entry 9:
## LiMn3Te (PBE)

Data for a relaxed LiMn3Te crystal.

CIF file:
```
data_LiMn3Te
_chemical_formula_sum 'Li1 Mn3 Te1'
_space_group_name_H-M_alt 'P m -3 m'
_space_group_IT_number 221
_space_group_name_Hall '-P 4 2 3'
_cell_length_a 4.946
_cell_length_b 4.946
_cell_length_c 4.946
_cell_angle_alpha 90.00
_cell_angle_beta 90.00
_cell_angle_gamma 90.00
loop_
_atom_site_label
_atom_site_type_symbol
_atom_site_fract_x
_atom_site_fract_y
_atom_site_fract_z
Li1 Li 0.000 0.000 0.000
Mn1 Mn 0.000 0.500 0.500
Te1 Te 0.500 0.500 0.500
```

Results
Mass density: 4107 kg/m3
Relative energy among the computed polymorphs: 2.972 kcal/mol of atoms
Energy relative to the elements, uncorrected: 0.89 eV per atom

Entry 10:
## BaNaCaGe (PBE)

Data for a relaxed BaNaCaGe crystal.

CIF file:
```
data_BaNaCaGe
_chemical_formula_sum 'Ba4 Na4 Ca4 Ge4'
_space_group_name_H-M_alt 'F -4 3 m'
_space_group_IT_number 216
_space_group_name_Hall 'F -4 2 3'
_cell_length_a 7.991
_cell_length_b 7.991
_cell_length_c 7.991
_cell_angle_alpha 90.00
_cell_angle_beta 90.00
_cell_angle_gamma 90.00
loop_
_atom_site_label
_atom_site_type_symbol
_atom_site_fract_x
_atom_site_fract_y
_atom_site_fract_z
Ba1 Ba 0.000 0.000 0.000
Na1 Na 0.250 0.250 0.250
Ca1 Ca 0.000 0.000 0.500
Ge1 Ge 0.250 0.250 0.750
```

Results
Mass density: 3555 kg/m3
Energy of formation from the pure elements: -0.270 eV/atom

Entry 11:
## SrCr2Sb (PBE)

Data for a relaxed SrCr2Sb crystal.

CIF file:
```
data_SrCr2Sb
_chemical_formula_sum 'Sr2 Cr4 Sb2'
_space_group_name_H-M_alt 'I -4 m 2'
_space_group_IT_number 119
_space_group_name_Hall 'I -4 -2'
_cell_length_a 5.221
_cell_length_b 5.221
_cell_length_c 7.430
_cell_angle_alpha 90.00
_cell_angle_beta 90.00
_cell_angle_gamma 90.00
loop_
_atom_site_label
_atom_site_type_symbol
_atom_site_fract_x
_atom_site_fract_y
_atom_site_fract_z
Sr1 Sr 0.000 0.000 0.000
Cr1 Cr 0.000 0.000 0.500
Cr2 Cr 0.000 0.500 0.750
Sb1 Sb 0.000 0.500 0.250
```

Results
Mass density: 5138 kg/m3
Energy relative to the elements, uncorrected: 0.52 eV per atom

Entry 12:
## MoAs2P (PBE)

Data for a relaxed MoAs2P crystal.

CIF file:
```
data_MoAs2P
_chemical_formula_sum 'Mo1 As2 P1'
_space_group_name_H-M_alt 'P 1 2/m 1'
_space_group_IT_number 10
_space_group_name_Hall '-P 2y'
_cell_length_a 4.263
_cell_length_b 3.186
_cell_length_c 4.858
_cell_angle_alpha 90.00
_cell_angle_beta 100.53
_cell_angle_gamma 90.00
loop_
_atom_site_label
_atom_site_type_symbol
_atom_site_fract_x
_atom_site_fract_y
_atom_site_fract_z
Mo1 Mo 0.000 0.000 0.000
As1 As 0.000 0.500 0.500
As2 As 0.500 0.000 0.500
P1 P 0.500 0.500 0.000
```

Results
Mass density: 7085 kg/m3
Energy of formation from the pure elements: 0.415 eV/atom